Model 1:
Compound: SmTc
Source: Alexandria
Functional: GGA-PBE
Structure: relaxed

Unit cell a=4.6302 b=4.0511 c=5.7977 alpha=90.00 beta=113.60 gamma=90.00
With the nearest neighbours (Å) after each atom.
Space group P2_1/m (No. 11)
One atom of each set of equivalent atoms:
Sm 0.1460 0.2500 0.2904  7 Tc 3.15-3.22
Tc 0.4400 0.2500 0.8849  2 Tc 2.37

Properties
magnetic moment: 0.0 μB per formula unit
calculated density: 8.28 g/cm3
crystal system: monoclinic

=====

Model 2:
Compound: SmTc
Source: Alexandria
Functional: GGA-PBE
Structure: relaxed

Unit cell a=4.1908 b=4.1908 c=20.2024 alpha=90.00 beta=90.00 gamma=120.00
With the nearest neighbours (Å) after each atom.
Space group R-3m (No. 166, hexagonal axes)
One atom of each set of equivalent atoms:
Sm 0.0000 0.0000 0.0975  3 Tc 2.95
Tc 0.0000 0.0000 0.3191  3 Tc 2.49

Properties
magnetic moment: 0.0 μB per formula unit
calculated density: 8.05 g/cm3
crystal system: trigonal

=====

Order of stability, best first: model 2, model 1

=====

Model 1:
Compound: SmTc2
Source: Alexandria
Functional: GGA-PBE
Structure: relaxed

Unit cell a=5.4636 b=5.4636 c=8.8597 alpha=90.00 beta=90.00 gamma=120.00
With the nearest neighbours (Å) after each atom.
Space group P6_3/mmc (No. 194)
One atom of each set of equivalent atoms:
Sm 0.3333 0.6667 0.0628  12 Tc 3.17-3.20, 4 Sm 3.32-3.34
Tc 0.0000 0.0000 0.0000  6 Tc 2.74
Tc 0.1707 0.3415 0.7500  6 Tc 2.67-2.80

Properties
magnetic moment: 0.0 μB per formula unit
calculated density: 10.04 g/cm3
crystal system: hexagonal

=====

Model 2:
Compound: SmTc2
Source: Alexandria
Functional: GGA-PBE
Structure: relaxed

Unit cell a=3.1430 b=3.1430 c=11.8083 alpha=90.00 beta=90.00 gamma=90.00
With the nearest neighbours (Å) after each atom.
Space group I4/mmm (No. 139)
One atom of each set of equivalent atoms:
Sm 0.0000 0.0000 0.0000  4 Sm 3.14, 8 Tc 3.22
Tc 0.0000 0.0000 0.3032  4 Tc 2.55

Properties
magnetic moment: 0.0 μB per formula unit
calculated density: 9.86 g/cm3
crystal system: tetragonal

=====

Order of stability, best first: model 1, model 2

=====

Model 1:
Compound: SmTm2Tc
Source: Alexandria
Functional: GGA-PBE
Structure: relaxed

Unit cell a=3.4188 b=3.4188 c=8.9666 alpha=90.00 beta=90.00 gamma=90.00
With the nearest neighbours (Å) after each atom.
Space group P4/mmm (No. 123)
One atom of each set of equivalent atoms:
Sm 0.0000 0.0000 0.0000  4 Sm 3.42, 8 Tm 3.74
Tm 0.5000 0.5000 0.3185  4 Tc 2.91, 1 Tm 3.26
Tc 0.0000 0.0000 0.5000  8 Tm 2.91

Properties
magnetic moment: 0.0 μB per formula unit
calculated density: 9.29 g/cm3
crystal system: tetragonal

=====

Model 2:
Compound: SmTm2Tc
Source: Alexandria
Functional: GGA-PBE
Structure: relaxed

Unit cell a=7.4895 b=9.0256 c=6.2512 alpha=90.00 beta=90.00 gamma=90.00
With the nearest neighbours (Å) after each atom.
Space group Pnma (No. 62)
One atom of each set of equivalent atoms:
Sm 0.0407 0.2500 0.1238  2 Tc 2.78-2.90
Tm 0.1751 0.0638 0.6542  3 Tc 2.84-3.13
Tc 0.1174 0.7500 0.4521  2 Sm 2.78-2.90, 4 Tm 2.84-2.95

Properties
magnetic moment: 0.0 μB per formula unit
calculated density: 9.21 g/cm3
crystal system: orthorhombic

=====

Model 3:
Compound: SmTm2Tc
Source: Alexandria
Functional: GGA-PBE
Structure: relaxed

Unit cell a=4.8105 b=4.8105 c=15.0780 alpha=90.00 beta=90.00 gamma=120.00
With the nearest neighbours (Å) after each atom.
Space group R-3m (No. 166, hexagonal axes)
One atom of each set of equivalent atoms:
Sm 0.0000 0.0000 0.0000  8 Tm 3.21-3.41
Tm 0.0000 0.0000 0.2261  3 Tc 2.92, 3 Sm 3.21
Tc 0.0000 0.0000 0.5000  6 Tm 2.92

Properties
magnetic moment: 0.0 μB per formula unit
calculated density: 9.66 g/cm3
crystal system: trigonal

=====

Order of stability, best first: model 2, model 1, model 3

=====

Model 1:
Compound: SmUTc2
Source: Alexandria
Functional: GGA-PBE
Structure: relaxed

Unit cell a=8.6107 b=3.7464 c=10.9935 alpha=90.00 beta=90.00 gamma=90.00
With the nearest neighbours (Å) after each atom.
Space group Pnma (No. 62)
One atom of each set of equivalent atoms:
Sm 0.1126 0.2500 0.1288  7 Tc 3.14-3.49, 2 U 3.49
U 0.0454 0.2500 0.6228  2 Tc 2.24-2.32
Tc 0.1665 0.2500 0.8035  1 U 2.24
Tc 0.1839 0.2500 0.4416  1 U 2.32

Properties
magnetic moment: 0.0 μB per formula unit
calculated density: 10.95 g/cm3
crystal system: orthorhombic

=====

Model 2:
Compound: SmUTc2
Source: Alexandria
Functional: GGA-PBE
Structure: relaxed

Unit cell a=4.8595 b=4.8595 c=3.3932 alpha=90.00 beta=90.00 gamma=90.00
With the nearest neighbours (Å) after each atom.
Space group P4/mmm (No. 123)
One atom of each set of equivalent atoms:
Sm 0.0000 0.0000 0.0000  8 Tc 2.96
U 0.5000 0.5000 0.0000  8 Tc 2.96
Tc 0.0000 0.5000 0.5000  4 U 2.96, 4 Sm 2.96

Properties
magnetic moment: 0.7 μB per formula unit
calculated density: 12.11 g/cm3
crystal system: tetragonal

=====

Order of stability, best first: model 1, model 2

=====

Model 1:
Compound: SmUTc2
Source: Alexandria
Functional: GGA-PBE
Structure: relaxed

Unit cell a=6.0631 b=9.0456 c=3.1860 alpha=90.00 beta=90.00 gamma=90.00
With the nearest neighbours (Å) after each atom.
Space group Cmmm (No. 65)
One atom of each set of equivalent atoms:
Sm 0.0000 0.0000 0.0000  2 U 3.03, 4 Tc 3.13, 2 Sm 3.19
U 0.0000 0.5000 0.0000  4 Tc 2.43
Tc 0.0000 0.2976 0.5000  2 U 2.43

Properties
magnetic moment: 0.0 μB per formula unit
calculated density: 11.11 g/cm3
crystal system: orthorhombic

=====

Model 2:
Compound: SmUTc2
Source: Alexandria
Functional: GGA-PBE
Structure: relaxed

Unit cell a=3.3730 b=3.3730 c=25.3964 alpha=90.00 beta=90.00 gamma=120.00
With the nearest neighbours (Å) after each atom.
Space group R-3m (No. 166, hexagonal axes)
One atom of each set of equivalent atoms:
Sm 0.0000 0.0000 0.0000  6 Tc 3.17, 6 Sm 3.37
U 0.0000 0.0000 0.5000  6 Tc 2.60
Tc 0.0000 0.0000 0.2347  3 U 2.60

Properties
magnetic moment: 0.0 μB per formula unit
calculated density: 11.63 g/cm3
crystal system: trigonal

=====

Model 3:
Compound: SmUTc2
Source: Alexandria
Functional: GGA-PBE
Structure: relaxed

Unit cell a=6.8484 b=6.8484 c=6.8484 alpha=90.00 beta=90.00 gamma=90.00
With the nearest neighbours (Å) after each atom.
Space group Fm-3m (No. 225)
One atom of each set of equivalent atoms:
Sm 0.0000 0.0000 0.0000  8 Tc 2.97
U 0.0000 0.0000 0.5000  8 Tc 2.97
Tc 0.2500 0.2500 0.2500  4 U 2.97, 4 Sm 2.97

Properties
magnetic moment: 0.9 μB per formula unit
calculated density: 12.09 g/cm3
crystal system: cubic

=====

Model 4:
Compound: SmUTc2
Source: Alexandria
Functional: GGA-PBE
Structure: relaxed

Unit cell a=3.3640 b=3.3640 c=7.1903 alpha=90.00 beta=90.00 gamma=90.00
With the nearest neighbours (Å) after each atom.
Space group P4/mmm (No. 123)
One atom of each set of equivalent atoms:
Sm 0.0000 0.0000 0.0000  8 Tc 3.21, 4 Sm 3.36, 2 U 3.60
U 0.0000 0.0000 0.5000  8 Tc 2.78
Tc 0.5000 0.5000 0.3003  4 U 2.78, 1 Tc 2.87

Properties
magnetic moment: 0.0 μB per formula unit
calculated density: 11.93 g/cm3
crystal system: tetragonal

=====

Order of stability, best first: model 4, model 2, model 3, model 1

=====

Model 1:
Compound: Sm2YTc
Source: Alexandria
Functional: GGA-PBE
Structure: relaxed

Unit cell a=7.4817 b=9.4018 c=6.3593 alpha=90.00 beta=90.00 gamma=90.00
With the nearest neighbours (Å) after each atom.
Space group Pnma (No. 62)
One atom of each set of equivalent atoms:
Sm 0.1770 0.0640 0.1623  2 Tc 2.88-3.02
Y 0.0443 0.2500 0.6331  2 Tc 2.81-2.85
Tc 0.1109 0.7500 0.9574  2 Y 2.81-2.85, 4 Sm 2.88-3.02

Properties
magnetic moment: 0.0 μB per formula unit
calculated density: 7.24 g/cm3
crystal system: orthorhombic

=====

Model 2:
Compound: Sm2YTc
Source: Alexandria
Functional: GGA-PBE
Structure: relaxed

Unit cell a=3.5140 b=3.5140 c=8.9628 alpha=90.00 beta=90.00 gamma=90.00
With the nearest neighbours (Å) after each atom.
Space group P4/mmm (No. 123)
One atom of each set of equivalent atoms:
Sm 0.0000 0.0000 0.1886  4 Tc 3.01
Y 0.5000 0.5000 0.5000  4 Y 3.51, 8 Sm 3.74
Tc 0.5000 0.5000 0.0000  8 Sm 3.01

Properties
magnetic moment: 0.3 μB per formula unit
calculated density: 7.32 g/cm3
crystal system: tetragonal

=====

Model 3:
Compound: Sm2YTc
Source: Alexandria
Functional: GGA-PBE
Structure: relaxed

Unit cell a=4.9034 b=4.9034 c=15.1548 alpha=90.00 beta=90.00 gamma=120.00
With the nearest neighbours (Å) after each atom.
Space group R-3m (No. 166, hexagonal axes)
One atom of each set of equivalent atoms:
Sm 0.0000 0.0000 0.2304  3 Tc 2.99, 3 Y 3.23
Y 0.0000 0.0000 0.0000  8 Sm 3.23-3.49
Tc 0.0000 0.0000 0.5000  6 Sm 2.99

Properties
magnetic moment: 0.0 μB per formula unit
calculated density: 7.70 g/cm3
crystal system: trigonal

=====

Order of stability, best first: model 1, model 2, model 3

=====

Model 1:
Compound: SmY2Tc
Source: Alexandria
Functional: GGA-PBE
Structure: relaxed

Unit cell a=3.4434 b=3.4434 c=33.1733 alpha=90.00 beta=90.00 gamma=120.00
With the nearest neighbours (Å) after each atom.
Space group R-3m (No. 166, hexagonal axes)
One atom of each set of equivalent atoms:
Sm 0.0000 0.0000 0.0000  6 Sm 3.44, 2 Y 3.50
Y 0.0000 0.0000 0.1057  3 Tc 2.84
Tc 0.0000 0.0000 0.5000  6 Y 2.84

Properties
magnetic moment: 0.0 μB per formula unit
calculated density: 6.23 g/cm3
crystal system: trigonal

=====

Model 2:
Compound: SmY2Tc
Source: Alexandria
Functional: GGA-PBE
Structure: relaxed

Unit cell a=3.4673 b=3.4673 c=9.0774 alpha=90.00 beta=90.00 gamma=90.00
With the nearest neighbours (Å) after each atom.
Space group P4/mmm (No. 123)
One atom of each set of equivalent atoms:
Sm 0.0000 0.0000 0.0000  4 Sm 3.47, 8 Y 3.78
Y 0.5000 0.5000 0.3174  4 Tc 2.96
Tc 0.0000 0.0000 0.5000  8 Y 2.96

Properties
magnetic moment: 0.0 μB per formula unit
calculated density: 6.48 g/cm3
crystal system: tetragonal

=====

Order of stability, best first: model 2, model 1

=====

Model 1:
Compound: SmY3Tc
Source: Alexandria
Functional: GGA-PBE
Structure: relaxed

Unit cell a=12.1508 b=3.9436 c=12.9147 alpha=90.00 beta=112.44 gamma=90.00
With the nearest neighbours (Å) after each atom.
Space group Cm (No. 8)
One atom of each set of equivalent atoms:
Sm 0.0000 0.0000 0.0000  2 Tc 2.96
Sm 0.1156 0.0000 0.2841  3 Tc 2.98-3.18
Y 0.1477 0.5000 0.5295  2 Tc 2.83
Y 0.1758 0.5000 0.9037  1 Tc 3.06
Y 0.3155 0.0000 0.7630  1 Tc 3.00
Y 0.3406 0.0000 0.1409  2 Tc 2.81
Y 0.3721 0.5000 0.3862  3 Tc 2.97-3.16
Y 0.4901 0.5000 0.6666  2 Tc 2.94
Tc 0.1752 0.5000 0.1403  3 Y 2.81-3.06, 4 Sm 2.96-2.98
Tc 0.3147 0.0000 0.5304  7 Y 2.83-3.00

Properties
magnetic moment: 0.0 μB per formula unit
calculated density: 5.98 g/cm3
crystal system: monoclinic

=====

Model 2:
Compound: SmY3Tc
Source: Alexandria
Functional: GGA-PBE
Structure: relaxed

Unit cell a=5.4209 b=5.4209 c=5.4209 alpha=90.00 beta=90.00 gamma=90.00
With the nearest neighbours (Å) after each atom.
Space group Pm-3m (No. 221)
One atom of each set of equivalent atoms:
Sm 0.0000 0.0000 0.0000  12 Y 3.83
Y 0.0000 0.5000 0.5000  2 Tc 2.71
Tc 0.5000 0.5000 0.5000  6 Y 2.71

Properties
magnetic moment: 0.0 μB per formula unit
calculated density: 5.37 g/cm3
crystal system: cubic

=====

Order of stability, best first: model 1, model 2

=====

Model 1:
Compound: SmYTc
Source: Alexandria
Functional: GGA-PBE
Structure: relaxed

Unit cell a=3.5017 b=3.5017 c=12.7069 alpha=90.00 beta=90.00 gamma=90.00
With the nearest neighbours (Å) after each atom.
Space group I4mm (No. 107)
One atom of each set of equivalent atoms:
Sm 0.0000 0.0000 0.0000  4 Tc 2.98, 1 Y 3.29
Y 0.0000 0.0000 0.2590  4 Tc 2.96, 1 Sm 3.29
Tc 0.0000 0.0000 0.6311  4 Y 2.96, 4 Sm 2.98

Properties
magnetic moment: 0.0 μB per formula unit
calculated density: 7.19 g/cm3
crystal system: tetragonal

=====

Model 2:
Compound: SmYTc
Source: Alexandria
Functional: GGA-PBE
Structure: relaxed

Unit cell a=6.9664 b=12.2861 c=7.6958 alpha=90.00 beta=90.00 gamma=90.00
With the nearest neighbours (Å) after each atom.
Space group Cmce (No. 64)
One atom of each set of equivalent atoms:
Sm 0.0000 0.1964 0.1133  2 Tc 2.79-2.94
Y 0.2500 0.0444 0.7500  4 Tc 2.90-2.95
Tc 0.0000 0.0977 0.4608  1 Tc 2.48

Properties
magnetic moment: 0.0 μB per formula unit
calculated density: 6.80 g/cm3
crystal system: orthorhombic

=====

Order of stability, best first: model 1, model 2

=====

Model 1:
Compound: Sm3Te2
Source: Alexandria
Functional: GGA-PBE
Structure: relaxed

Unit cell a=7.5111 b=7.5111 c=21.3880 alpha=90.00 beta=90.00 gamma=120.00
With the nearest neighbours (Å) after each atom.
Space group R-3c (No. 167, hexagonal axes)
One atom of each set of equivalent atoms:
Sm 0.0000 0.3311 0.2500  4 Te 3.03-3.11
Te 0.0000 0.0000 0.1628  6 Sm 3.03-3.11

Properties
magnetic moment: 0.0 μB per formula unit
calculated density: 6.73 g/cm3
crystal system: trigonal

=====

Model 2:
Compound: Sm3Te2
Source: Alexandria
Functional: GGA-PBE
Structure: relaxed

Unit cell a=12.1329 b=4.2208 c=11.9494 alpha=90.00 beta=90.00 gamma=90.00
With the nearest neighbours (Å) after each atom.
Space group Pnma (No. 62)
One atom of each set of equivalent atoms:
Sm 0.0462 0.2500 0.1240  5 Te 3.14-3.24
Sm 0.1211 0.7500 0.5642  5 Te 3.12-3.19
Sm 0.2133 0.2500 0.7926  4 Te 3.14-3.22
Te 0.0288 0.7500 0.3174  7 Sm 3.12-3.22
Te 0.1934 0.7500 0.9954  7 Sm 3.16-3.24

Properties
magnetic moment: 0.0 μB per formula unit
calculated density: 7.67 g/cm3
crystal system: orthorhombic

=====

Order of stability, best first: model 2, model 1